[1]
Below is a geometry-optimized TeSe2 structure, with properties calculated at the PBE level.

Lattice parameters (Å, degrees): 8.620 8.620 8.620 157.09 157.09 32.63
Atoms (fractional coordinates):
Te (0.000, 0.000, 0.000)
Se (0.277, 0.277, 0.000)
Se (0.723, 0.723, 0.000)

Values from the calculation:
- formation energy from raw total energies (eV/atom) = 0.349
- distance to the lowest polymorph of the same formula (meV/atom) = 364


[2]
Below is a geometry-optimized CaPr3Sb3 structure, with properties calculated at the PBE level.

Lattice parameters (Å, degrees): 9.582 9.582 9.582 90.00 90.00 90.00
Atoms (fractional coordinates):
Ca (0.070, 0.430, 0.570)
Ca (0.430, 0.570, 0.070)
Ca (0.570, 0.070, 0.430)
Ca (0.930, 0.930, 0.930)
Pr (0.071, 0.571, 0.929)
Pr (0.178, 0.178, 0.178)
Pr (0.182, 0.818, 0.318)
Pr (0.318, 0.182, 0.818)
Pr (0.322, 0.822, 0.678)
Pr (0.429, 0.429, 0.429)
Pr (0.571, 0.929, 0.071)
Pr (0.678, 0.322, 0.822)
Pr (0.682, 0.682, 0.682)
Pr (0.818, 0.318, 0.182)
Pr (0.822, 0.678, 0.322)
Pr (0.929, 0.071, 0.571)
Sb (0.002, 0.749, 0.624)
Sb (0.124, 0.498, 0.251)
Sb (0.249, 0.876, 0.998)
Sb (0.251, 0.124, 0.498)
Sb (0.376, 0.502, 0.751)
Sb (0.498, 0.251, 0.124)
Sb (0.502, 0.751, 0.376)
Sb (0.624, 0.002, 0.749)
Sb (0.749, 0.624, 0.002)
Sb (0.751, 0.376, 0.502)
Sb (0.876, 0.998, 0.249)
Sb (0.998, 0.249, 0.876)

Values from the calculation:
- formation energy from raw total energies (eV/atom) = -1.042
- distance to the lowest polymorph of the same formula (meV/atom) = 0


[3]
Below is a geometry-optimized Be2Ge2Ru structure, with properties calculated at the PBE level.

Lattice parameters (Å, degrees): 6.151 6.151 6.151 147.27 147.27 46.96
Atoms (fractional coordinates):
Be (0.090, 0.090, 0.000)
Be (0.910, 0.910, 0.000)
Ge (0.250, 0.750, 0.500)
Ge (0.750, 0.250, 0.500)
Ru (0.500, 0.500, 0.000)

Values from the calculation:
- distance to the lowest polymorph of the same formula (meV/atom) = 321
- DFT formation energy (eV per atom) = 0.529


[4]
Below is a geometry-optimized PmGaGe structure, with properties calculated at the PBE level.

Lattice parameters (Å, degrees): 4.210 4.210 4.362 90.00 90.00 120.00
Atoms (fractional coordinates):
Pm (0.000, 0.000, 0.000)
Ga (0.333, 0.667, 0.414)
Ge (0.667, 0.333, 0.571)

Values from the calculation:
- distance to the lowest polymorph of the same formula (meV/atom) = 0
- DFT formation energy (eV per atom) = -0.705


[5]
Below is a geometry-optimized LaY2RuN4 structure, with properties calculated at the PBE level.

Lattice parameters (Å, degrees): 6.139 6.139 11.687 90.00 90.00 147.13
Atoms (fractional coordinates):
La (0.114, 0.886, 0.750)
La (0.886, 0.114, 0.250)
Y (0.369, 0.631, 0.543)
Y (0.369, 0.631, 0.957)
Y (0.631, 0.369, 0.043)
Y (0.631, 0.369, 0.457)
Ru (0.148, 0.852, 0.250)
Ru (0.852, 0.148, 0.750)
N (0.000, 0.000, 0.000)
N (0.000, 0.000, 0.500)
N (0.266, 0.734, 0.126)
N (0.266, 0.734, 0.374)
N (0.436, 0.564, 0.750)
N (0.564, 0.436, 0.250)
N (0.734, 0.266, 0.626)
N (0.734, 0.266, 0.874)

Values from the calculation:
- formation energy from raw total energies (eV/atom) = -1.027


[6]
Below is a geometry-optimized NaAg2Te2 structure, with properties calculated at the PBE level.

Lattice parameters (Å, degrees): 6.087 6.087 6.087 125.92 125.92 80.02
Atoms (fractional coordinates):
Na (0.000, 0.000, 0.000)
Ag (0.334, 0.334, 0.000)
Ag (0.666, 0.666, 0.000)
Te (0.250, 0.750, 0.500)
Te (0.750, 0.250, 0.500)

Values from the calculation:
- formation energy from raw total energies (eV/atom) = -0.179
- distance to the lowest polymorph of the same formula (meV/atom) = 107


[7]
Below is a geometry-optimized LaSbAsO structure, with properties calculated at the PBE level.

Lattice parameters (Å, degrees): 4.899 4.899 7.628 90.00 90.00 90.00
Atoms (fractional coordinates):
La (0.250, 0.250, 0.098)
La (0.750, 0.750, 0.902)
Sb (0.250, 0.750, 0.500)
Sb (0.750, 0.250, 0.500)
As (0.250, 0.250, 0.668)
As (0.750, 0.750, 0.332)
O (0.250, 0.750, 0.000)
O (0.750, 0.250, 0.000)

Values from the calculation:
- formation energy from raw total energies (eV/atom) = -1.345


[8]
Below is a geometry-optimized NbSiP structure, with properties calculated at the PBE level.

Lattice parameters (Å, degrees): 4.664 4.664 6.241 91.43 91.43 42.49
Atoms (fractional coordinates):
Nb (0.000, 0.000, 0.000)
Nb (0.144, 0.144, 0.476)
Si (0.282, 0.282, 0.863)
Si (0.714, 0.714, 0.152)
P (0.436, 0.436, 0.303)
P (0.858, 0.858, 0.623)

Values from the calculation:
- formation energy from raw total energies (eV/atom) = -0.511


Q: Which D(E_F) values were calculated for the entries above? A: 1.9 30.0 2.3 0.5 5.9 1.8 2.6 1.1, in states/eV/cell.
Q: Which E values were calculated for the entries above? A: -3.0209 -5.1433 -4.6633 -4.8369 -8.5810 -2.8401 -6.0091 -7.4785, in eV per atom.